5
Lattice="-4.628 -1.522 1.777 2.027 -4.576 1.359 1.182 1.928 4.730" Properties=species:S:1:pos:R:3 comment="RbYFePb2 GGA-PBEsol relaxed" energy_ha_per_atom=-0.1618 spacegroup="P4/mmm, No. 123" e_form_ev_per_atom=0.560 total_magnetization_mub_per_fu=2.3 pbc="T T T"
Pb 1.013 -2.288 0.679
Pb -2.314 -0.761 0.889
Y -0.709 -2.085 3.933
Fe 0.000 0.000 0.000
Rb 0.591 0.964 2.365